(a)
BaCa2Cu: relaxed, GGA-PBE.

Its density of states at the Fermi level is 0.937 states/eV/atom.

The space group is P2_1/m (No. 11) and the conventional cell measures 4.3790, 10.0709 and 7.0713 Å, with angles of 90.00, 107.94 and 90.00 degrees. The asymmetric unit holds Ba at (0.0724, 0.2500, 0.1455), Ca at (0.3478, 0.0671, 0.6964) and Cu at (0.2401, 0.7500, 0.4774).



(b)
BaCa2Cu: relaxed, GGA-PBE.

Its density of states at the Fermi level is 1.086 states/eV/atom.

The space group is I4/mmm (No. 139) and the conventional cell measures 4.9329, 4.9329 and 12.2048 Å, with angles of 90.00, 90.00 and 90.00 degrees. The asymmetric unit holds Ba at (0.0000, 0.0000, 0.0000), Ca at (0.0000, 0.5000, 0.2500) and Cu at (0.0000, 0.0000, 0.5000).



(c)
BaCa2Cu: relaxed, GGA-PBE.

Its density of states at the Fermi level is 1.052 states/eV/atom.

The space group is Cmmm (No. 65) and the conventional cell measures 5.3257, 5.3341 and 9.9975 Å, with angles of 90.00, 90.00 and 90.00 degrees. The asymmetric unit holds Ba at (0.0000, 0.0000, 0.0000), Ca at (0.0000, 0.5000, 0.3316) and Cu at (0.0000, 0.0000, 0.5000).



In meV per atom, relative to the most stable structure: (a) 0; (b) 271; (c) 37.



(a)
BaCa2Cu: relaxed, GGA-PBE.

Its density of states at the Fermi level is 0.981 states/eV/atom.

The space group is P2/m (No. 10) and the conventional cell measures 6.4854, 4.3086 and 6.7592 Å, with angles of 90.00, 118.49 and 90.00 degrees. The asymmetric unit holds Ba at (0.0000, 0.0000, 0.0000), Ca at (0.3365, 0.5000, 0.6730) and Cu at (0.5000, 0.0000, 0.0000).



(b)
BaCa2Cu: relaxed, GGA-PBE.

Its density of states at the Fermi level is 0.921 states/eV/atom.

The space group is C2/m (No. 12) and the conventional cell measures 7.0668, 12.5224 and 3.8458 Å, with angles of 90.00, 119.10 and 90.00 degrees. The asymmetric unit holds Ba at (0.0000, 0.0000, 0.0000), Ca at (0.2500, 0.2500, 0.5000) and Cu at (0.0000, 0.5000, 0.0000).



(c)
BaCa2Cu: relaxed, GGA-PBE.

Its density of states at the Fermi level is 1.467 states/eV/atom.

The space group is F-43m (No. 216) and the conventional cell measures 8.2680, 8.2680 and 8.2680 Å, with angles of 90.00, 90.00 and 90.00 degrees. The asymmetric unit holds Ba at (0.0000, 0.0000, 0.0000), Ca at (0.0000, 0.0000, 0.5000), Ca at (0.2500, 0.2500, 0.7500) and Cu at (0.2500, 0.2500, 0.2500).



In meV per atom, relative to the most stable structure: (a) 0; (b) 240; (c) 194.